KPaReO6 after structural relaxation, computed with PBE-GGA.

As for the energy relative to the elements, uncorrected: -2.40 eV per atom. Its crystal system is orthorhombic. For the total energy, the calculation gives -297.6 eV per cell.

It has space group Imma (No. 74), with a = 7.450 Å, b = 7.998 Å, c = 10.801 Å, α = 90.00°, β = 90.00° and γ = 90.00°. The distinct sites, in fractional coordinates, are K at (0.000, 0.250, 0.061), Pa at (0.000, 0.000, 0.500), Re at (0.250, 0.250, 0.750), O at (0.000, 0.250, 0.426), O at (0.000, 0.250, 0.783) and O at (0.217, 0.080, 0.625).